(1)
A relaxed structure of Cs2TeHBr6, computed with GGA-PBE.

Energy = -2.726 eV/atom
Volume = 36.9 Å³/atom

Cell lengths 8.7036, 8.7036, 9.7533 Å; angles 90.00, 90.00, 90.00 degrees
Last column: nearest neighbours and their distance in Å.
Space group I4/mmm (No. 139)
Inequivalent atoms, fractional coordinates:
Cs 0.0000 0.5000 0.2500 x4  12 Br 3.94-4.41
Te 0.0000 0.0000 0.0000 x2  4 Br 2.73
H 0.0000 0.0000 0.5000 x2  2 Br 1.72
Br 0.0000 0.0000 0.3237 x4  1 H 1.72
Br 0.2220 0.2220 0.0000 x8  1 Te 2.73



(2)
A relaxed structure of Cs2TiHBr6, computed with GGA-PBE.

Energy = -3.434 eV/atom
Volume = 34.0 Å³/atom

Cell lengths 7.8279, 7.8279, 11.1050 Å; angles 90.00, 90.00, 90.00 degrees
Last column: nearest neighbours and their distance in Å.
Space group I4/mmm (No. 139)
Inequivalent atoms, fractional coordinates:
Cs 0.0000 0.5000 0.2500 x4  12 Br 3.92-3.93
Ti 0.0000 0.0000 0.0000 x2  6 Br 2.54
H 0.0000 0.0000 0.5000 x2  6 Br 3.00-3.01
Br 0.0000 0.0000 0.2285 x4  1 Ti 2.54
Br 0.2292 0.2292 0.0000 x8  1 Ti 2.54



(3)
A relaxed structure of CsTlHBr2, computed with GGA-PBE.

Energy = -2.798 eV/atom
Volume = 31.6 Å³/atom

Cell lengths 6.2280, 6.2280, 4.0797 Å; angles 90.00, 90.00, 90.00 degrees
Last column: nearest neighbours and their distance in Å.
Space group P4/mmm (No. 123)
Inequivalent atoms, fractional coordinates:
Cs 0.0000 0.0000 0.0000 x1  8 Br 3.72, 2 Cs 4.08
Tl 0.5000 0.5000 0.5000 x1  2 H 2.04
H 0.5000 0.5000 0.0000 x1  2 Tl 2.04
Br 0.0000 0.5000 0.5000 x2  2 Tl 3.11



(4)
A relaxed structure of Cs2HWBr6, computed with GGA-PBE.

Energy = -3.566 eV/atom
Volume = 34.0 Å³/atom

Cell lengths 7.8281, 7.8281, 11.1027 Å; angles 90.00, 90.00, 90.00 degrees
Last column: nearest neighbours and their distance in Å.
Space group I4/mmm (No. 139)
Inequivalent atoms, fractional coordinates:
Cs 0.0000 0.5000 0.2500 x4  12 Br 3.92-3.93
H 0.0000 0.0000 0.0000 x2  6 Br 2.97-2.99
W 0.0000 0.0000 0.5000 x2  6 Br 2.56
Br 0.0000 0.0000 0.2691 x4  1 W 2.56
Br 0.2315 0.2315 0.5000 x8  1 W 2.56



(5)
A relaxed structure of Cs2YHBr6, computed with GGA-PBE.

Energy = -3.460 eV/atom
Volume = 34.2 Å³/atom

Cell lengths 7.3977, 7.3977, 12.4987 Å; angles 90.00, 90.00, 90.00 degrees
Last column: nearest neighbours and their distance in Å.
Space group I4/mmm (No. 139)
Inequivalent atoms, fractional coordinates:
Cs 0.0000 0.5000 0.2500 x4  12 Br 3.71-4.08
Y 0.0000 0.0000 0.0000 x2  6 Br 2.78-2.83
H 0.0000 0.0000 0.5000 x2  4 Br 2.40
Br 0.0000 0.0000 0.2227 x4  1 Y 2.78
Br 0.2294 0.2294 0.5000 x8  1 H 2.40



(6)
A relaxed structure of CsZrHBr2, computed with GGA-PBE.

Energy = -4.008 eV/atom
Volume = 27.4 Å³/atom

Cell lengths 5.6902, 5.6902, 4.2363 Å; angles 90.00, 90.00, 90.00 degrees
Last column: nearest neighbours and their distance in Å.
Space group P4/mmm (No. 123)
Inequivalent atoms, fractional coordinates:
Cs 0.0000 0.0000 0.0000 x1  8 Br 3.55
Zr 0.5000 0.5000 0.5000 x1  2 H 2.12
H 0.5000 0.5000 0.0000 x1  2 Zr 2.12
Br 0.0000 0.5000 0.5000 x2  2 Zr 2.85



(7)
A relaxed structure of CsHf3Br, computed with GGA-PBE.

Uncorrected formation energy = 2.36 eV/atom
Volume = 31.1 Å³/atom
Energy above the most stable polymorph in this dataset = 1232 meV per atom

Cell lengths 5.3776, 5.3776, 5.3776 Å; angles 90.00, 90.00, 90.00 degrees
Last column: nearest neighbours and their distance in Å.
Space group Pm-3m (No. 221)
Inequivalent atoms, fractional coordinates:
Cs 0.0000 0.0000 0.0000 x1  6 Hf 2.69
Hf 0.0000 0.0000 0.5000 x3  2 Cs 2.69
Br 0.5000 0.5000 0.5000 x1  12 Hf 3.80



(8)
A relaxed structure of CsHfBr2, computed with GGA-PBE.

Uncorrected formation energy = -0.36 eV/atom
Volume = 43.7 Å³/atom
Energy above the most stable polymorph in this dataset = 0 meV per atom

Cell lengths 6.5702, 6.5702, 16.1842 Å; angles 90.00, 90.00, 90.00 degrees
Last column: nearest neighbours and their distance in Å.
Space group I-42d (No. 122)
Inequivalent atoms, fractional coordinates:
Cs 0.0000 0.0000 0.0000 x4  4 Br 3.69
Hf 0.0000 0.0000 0.5000 x4  4 Br 2.69
Br 0.1024 0.2500 0.6250 x8  2 Hf 2.69



(9)
A relaxed structure of Cs3HfBr6, computed with GGA-PBE.

Uncorrected formation energy = -1.53 eV/atom
Volume = 44.8 Å³/atom

Cell lengths 12.1419, 12.1419, 12.1419 Å; angles 90.00, 90.00, 90.00 degrees
Last column: nearest neighbours and their distance in Å.
Space group Fm-3m (No. 225)
Inequivalent atoms, fractional coordinates:
Cs 0.0000 0.0000 0.0000 x4  6 Br 3.40
Cs 0.2500 0.2500 0.2500 x8  12 Br 4.31
Hf 0.0000 0.0000 0.5000 x4  6 Br 2.67
Br 0.0000 0.0000 0.2799 x24  1 Hf 2.67



(10)
A relaxed structure of CsHfBr5, computed with GGA-PBE.

Uncorrected formation energy = -1.51 eV/atom
Volume = 41.6 Å³/atom

Cell lengths 14.5514, 7.9464, 10.8512 Å; angles 90.00, 111.87, 90.00 degrees
Last column: nearest neighbours and their distance in Å.
Space group C2/c (No. 15)
Inequivalent atoms, fractional coordinates:
Cs 0.0000 0.0020 0.2500 x4  10 Br 3.82-4.12
Hf 0.0000 0.5000 0.0000 x4  6 Br 2.58-2.72
Br 0.0000 0.4795 0.7500 x4  2 Hf 2.72
Br 0.1330 0.2665 0.5590 x8  1 Hf 2.58
Br 0.1365 0.2725 0.0758 x8  1 Hf 2.58



(11)
A relaxed structure of CsHf3Br, computed with GGA-PBE.

Uncorrected formation energy = 1.13 eV/atom
Volume = 28.3 Å³/atom
Energy above the most stable polymorph in this dataset = 0 meV per atom

Cell lengths 5.2082, 5.2082, 5.2082 Å; angles 90.00, 90.00, 90.00 degrees
Last column: nearest neighbours and their distance in Å.
Space group Pm-3m (No. 221)
Inequivalent atoms, fractional coordinates:
Cs 0.0000 0.0000 0.0000 x1  12 Hf 3.68
Hf 0.0000 0.5000 0.5000 x3  2 Br 2.60
Br 0.5000 0.5000 0.5000 x1  6 Hf 2.60



(12)
A relaxed structure of CsHfBr3, computed with GGA-PBE.

Uncorrected formation energy = -1.05 eV/atom
Volume = 31.7 Å³/atom
Energy above the most stable polymorph in this dataset = 0 meV per atom

Cell lengths 5.4137, 5.4137, 5.4137 Å; angles 90.00, 90.00, 90.00 degrees
Last column: nearest neighbours and their distance in Å.
Space group Pm-3m (No. 221)
Inequivalent atoms, fractional coordinates:
Cs 0.0000 0.0000 0.0000 x1  12 Br 3.83
Hf 0.5000 0.5000 0.5000 x1  6 Br 2.71
Br 0.0000 0.5000 0.5000 x3  2 Hf 2.71



(13)
A relaxed structure of CsHf2Br, computed with GGA-PBE.

Uncorrected formation energy = 0.80 eV/atom
Volume = 32.3 Å³/atom

Cell lengths 4.8163, 4.8163, 22.2632 Å; angles 90.00, 90.00, 90.00 degrees
Last column: nearest neighbours and their distance in Å.
Space group I-42d (No. 122)
Inequivalent atoms, fractional coordinates:
Cs 0.0000 0.0000 0.0000 x4  4 Br 3.41, 4 Hf 3.52
Hf 0.1273 0.7500 0.6250 x8  2 Hf 2.70
Br 0.0000 0.0000 0.5000 x4  4 Hf 3.09, 4 Cs 3.41



(14)
A relaxed structure of Cs2HfBr7, computed with GGA-PBE.

Uncorrected formation energy = -1.35 eV/atom
Volume = 43.0 Å³/atom

Cell lengths 8.3188, 8.3188, 12.4193 Å; angles 90.00, 90.00, 90.00 degrees
Last column: nearest neighbours and their distance in Å.
Space group I4/mmm (No. 139)
Inequivalent atoms, fractional coordinates:
Cs 0.0000 0.5000 0.2500 x4  12 Br 4.19-4.29
Hf 0.0000 0.0000 0.0000 x2  6 Br 2.62
Br 0.0000 0.0000 0.2110 x4  1 Hf 2.62
Br 0.0000 0.0000 0.5000 x2  6 Br 3.26-3.59
Br 0.2230 0.2230 0.0000 x8  1 Hf 2.62



(15)
A relaxed structure of CsHfBr2, computed with GGA-PBE.

Uncorrected formation energy = -0.06 eV/atom
Volume = 33.2 Å³/atom
Energy above the most stable polymorph in this dataset = 307 meV per atom

Cell lengths 8.1011, 8.1011, 8.1011 Å; angles 90.00, 90.00, 90.00 degrees
Last column: nearest neighbours and their distance in Å.
Space group Fm-3m (No. 225)
Inequivalent atoms, fractional coordinates:
Cs 0.0000 0.0000 0.0000 x4  8 Br 3.51
Hf 0.0000 0.0000 0.5000 x4  8 Br 3.51
Br 0.2500 0.2500 0.2500 x8  4 Hf 3.51, 4 Cs 3.51



(16)
A relaxed structure of CsHfBr6, computed with GGA-PBE.

Uncorrected formation energy = -1.28 eV/atom
Volume = 38.4 Å³/atom

Cell lengths 8.8601, 10.1993, 6.9938 Å; angles 90.00, 103.65, 90.00 degrees
Last column: nearest neighbours and their distance in Å.
Space group C2/m (No. 12)
Inequivalent atoms, fractional coordinates:
Cs 0.0000 0.0000 0.0000 x2  12 Br 3.87-4.16
Hf 0.0000 0.5000 0.5000 x2  6 Br 2.61-2.62
Br 0.1042 0.3209 0.7649 x8  1 Hf 2.61
Br 0.2305 0.0000 0.5925 x4  1 Hf 2.62



(17)
A relaxed structure of CsHfBr3, computed with GGA-PBE.

Uncorrected formation energy = 0.51 eV/atom
Volume = 52.4 Å³/atom
Energy above the most stable polymorph in this dataset = 1562 meV per atom

Cell lengths 6.3989, 6.3989, 6.3989 Å; angles 90.00, 90.00, 90.00 degrees
Last column: nearest neighbours and their distance in Å.
Space group Pm-3m (No. 221)
Inequivalent atoms, fractional coordinates:
Cs 0.0000 0.0000 0.0000 x1  6 Br 3.20
Hf 0.5000 0.5000 0.5000 x1  12 Br 4.52
Br 0.0000 0.0000 0.5000 x3  2 Cs 3.20



(18)
A relaxed structure of Cs2HfHg2Br6, computed with GGA-PBE.

Uncorrected formation energy = -1.30 eV/atom
Volume = 48.3 Å³/atom

Cell lengths 8.6132, 15.2704, 8.8421 Å; angles 90.00, 113.95, 90.00 degrees
Last column: nearest neighbours and their distance in Å.
Space group C2/m (No. 12)
Inequivalent atoms, fractional coordinates:
Cs 0.0000 0.1686 0.0000 x4  6 Br 3.66-3.71
Hf 0.0000 0.5000 0.0000 x2  6 Br 2.63-2.64
Hg 0.0000 0.3021 0.5000 x4  6 Br 3.96-4.00
Br 0.1723 0.5000 0.8125 x4  1 Hf 2.64
Br 0.2024 0.3783 0.1903 x8  1 Hf 2.63



(19)
A relaxed structure of Cs2HfI2Br4, computed with GGA-PBE.

Uncorrected formation energy = -1.53 eV/atom
Volume = 42.0 Å³/atom

Cell lengths 8.1338, 8.1338, 11.4296 Å; angles 90.00, 90.00, 90.00 degrees
Last column: nearest neighbours and their distance in Å.
Space group I4/mmm (No. 139)
Inequivalent atoms, fractional coordinates:
Cs 0.0000 0.5000 0.2500 x4  8 Br 4.06, 4 I 4.07
Hf 0.0000 0.0000 0.0000 x2  4 Br 2.62, 2 I 2.88
I 0.0000 0.0000 0.2521 x4  1 Hf 2.88
Br 0.2278 0.2278 0.0000 x8  1 Hf 2.62



(20)
A relaxed structure of Cs2HfI5Br, computed with GGA-PBE.

Uncorrected formation energy = -1.32 eV/atom
Volume = 46.4 Å³/atom

Cell lengths 8.4371, 8.4371, 11.7379 Å; angles 90.00, 90.00, 90.00 degrees
Last column: nearest neighbours and their distance in Å.
Space group I4mm (No. 107)
Inequivalent atoms, fractional coordinates:
Cs 0.0000 0.5000 0.0000 x4  10 I 4.18-4.22, 2 Br 4.23
Hf 0.0000 0.0000 0.2466 x2  1 Br 2.60, 5 I 2.87
I 0.0000 0.0000 0.4910 x2  1 Hf 2.87
I 0.2404 0.2404 0.2498 x8  1 Hf 2.87
Br 0.0000 0.0000 0.0253 x2  1 Hf 2.60



(21)
A relaxed structure of Cs2HfIBr5, computed with GGA-PBE.

Uncorrected formation energy = -1.60 eV/atom
Volume = 40.6 Å³/atom

Cell lengths 8.0343, 8.0343, 11.3292 Å; angles 90.00, 90.00, 90.00 degrees
Last column: nearest neighbours and their distance in Å.
Space group I4mm (No. 107)
Inequivalent atoms, fractional coordinates:
Cs 0.0000 0.5000 0.0000 x4  10 Br 4.01-4.02, 2 I 4.02
Hf 0.0000 0.0000 0.2474 x2  5 Br 2.62-2.63, 1 I 2.89
I 0.0000 0.0000 0.5027 x2  1 Hf 2.89
Br 0.0000 0.0000 0.0162 x2  1 Hf 2.62
Br 0.2310 0.2310 0.2508 x8  1 Hf 2.63



(22)
A relaxed structure of Cs2HfI6Br, computed with GGA-PBE.

Uncorrected formation energy = -1.01 eV/atom
Volume = 51.1 Å³/atom
Energy above the most stable polymorph in this dataset = 78 meV per atom

Cell lengths 9.2937, 9.2937, 11.8219 Å; angles 90.00, 90.00, 90.00 degrees
Last column: nearest neighbours and their distance in Å.
Space group I4/mmm (No. 139)
Inequivalent atoms, fractional coordinates:
Cs 0.0000 0.5000 0.2500 x4  12 I 4.44-4.65
Hf 0.0000 0.0000 0.0000 x2  6 I 2.85-2.88
I 0.0000 0.0000 0.2438 x4  1 Hf 2.88, 1 Br 3.03
I 0.2167 0.2167 0.0000 x8  1 Hf 2.85
Br 0.0000 0.0000 0.5000 x2  2 I 3.03



(23)
A relaxed structure of Cs2HfIBr6, computed with GGA-PBE.

Uncorrected formation energy = -1.33 eV/atom
Volume = 46.4 Å³/atom
Energy above the most stable polymorph in this dataset = 66 meV per atom

Cell lengths 8.5550, 8.5550, 12.6914 Å; angles 90.00, 90.00, 90.00 degrees
Last column: nearest neighbours and their distance in Å.
Space group I4/mmm (No. 139)
Inequivalent atoms, fractional coordinates:
Cs 0.0000 0.5000 0.2500 x4  12 Br 4.31-4.40
Hf 0.0000 0.0000 0.0000 x2  6 Br 2.62
I 0.0000 0.0000 0.5000 x2  6 Br 3.43-3.73
Br 0.0000 0.0000 0.2065 x4  1 Hf 2.62
Br 0.2169 0.2169 0.0000 x8  1 Hf 2.62



(24)
A relaxed structure of Cs2HfI6Br, computed with GGA-PBE.

Uncorrected formation energy = -1.09 eV/atom
Volume = 51.2 Å³/atom
Energy above the most stable polymorph in this dataset = 0 meV per atom

Cell lengths 8.3724, 8.6075, 9.3042 Å; angles 87.95, 63.41, 61.30 degrees
Last column: nearest neighbours and their distance in Å.
Space group P1 (No. 1)
Inequivalent atoms, fractional coordinates:
Cs 0.0000 0.0000 0.0000 x1  1 Br 3.57
Cs 0.0597 0.4146 0.4323 x1  1 Br 3.57
Hf 0.5257 0.7114 0.1971 x1  6 I 2.81-2.90
I 0.0913 0.9143 0.4153 x1  1 Hf 2.82
I 0.4961 0.9944 0.0217 x1  1 Hf 2.86
I 0.5340 0.5145 0.9572 x1  1 Hf 2.81
I 0.5625 0.4333 0.3802 x1  1 Hf 2.86
I 0.6090 0.8773 0.4001 x1  1 Hf 2.90, 1 Br 3.17
I 0.9773 0.5333 0.0216 x1  1 Hf 2.90, 1 Br 3.18
Br 0.2421 0.2057 0.7093 x1  2 I 3.17-3.18